Compound: MgCr2Pb
Source: Alexandria via LeMat-Bulk
Functional: PBE
Structure: optimized geometry

Cell lengths 6.931, 6.931, 6.931 Å; angles 90.00, 90.00, 90.00 degrees
Atoms (fractional coordinates):
Mg 0.000 0.000 0.000
Mg 0.000 0.500 0.500
Mg 0.500 0.000 0.500
Mg 0.500 0.500 0.000
Cr 0.000 0.000 0.500
Cr 0.000 0.500 0.000
Cr 0.250 0.250 0.250
Cr 0.250 0.750 0.750
Cr 0.500 0.000 0.000
Cr 0.500 0.500 0.500
Cr 0.750 0.250 0.750
Cr 0.750 0.750 0.250
Pb 0.250 0.250 0.750
Pb 0.250 0.750 0.250
Pb 0.750 0.250 0.250
Pb 0.750 0.750 0.750

Computed properties:
The symmetry is No. 216. As for the formation enthalpy at 0 K: 0.65 eV per atom. The density of states at the Fermi level comes out at 2.9 states/eV/f.u. Its total energy is -5.489 eV/atom. Its density is 6.694 Mg/m³.